Compound: CaAlSb2C
Source: Alexandria via LeMat-Bulk
Functional: PBE
Structure: relaxed

a b c (Å): 4.787 4.787 4.833
angles (deg): 90.00 90.00 90.00
Positions (direct):
Ca 0.000 0.000 0.000
Al 0.500 0.500 0.000
Sb 0.000 0.500 0.500
Sb 0.500 0.000 0.500
C 0.000 0.000 0.500

- Space group: P4/mmm
- Formation energy from raw total energies: 0.446 eV per atom

***

Compound: PrNiPd2
Source: Alexandria via LeMat-Bulk
Functional: PBE
Structure: relaxed

a b c (Å): 4.152 4.152 4.154
angles (deg): 90.00 90.00 90.00
Positions (direct):
Pr 0.000 0.000 0.000
Ni 0.500 0.500 0.000
Pd 0.000 0.500 0.500
Pd 0.500 0.000 0.500

- Space group: P4/mmm
- E_form: -0.47 eV per atom

***

| no. | final energy (eV per atom) | calculated volume (Å³/cell) |
| --- | --- | --- |
| 1 | -4.196 | 111 |
| 2 | -5.708 | 72 |